Material: CsCaAl2Bi
Method: DFT, GGA-PBE
State: relaxed

Values from the calculation:
raw total energy: -7.69 eV per cell
energy of formation from the pure elements: 6.536 eV per formula unit

```
CsCaAl2Bi
1.0
5.785 0.000 0.000
0.000 5.785 0.000
0.000 0.000 6.142
Cs Ca Al Bi
1 1 2 1
Direct
0.000 0.000 0.000
0.000 0.000 0.500
0.000 0.500 0.000
0.500 0.000 0.000
0.500 0.500 0.500
```

=====

Material: SmTl2InS4
Method: DFT, GGA-PBE
State: relaxed

Values from the calculation:
raw total energy: -71.98 eV per cell
raw formation energy: -88 kJ/mol of atoms

```
SmTl2InS4
1.0
-4.146 4.223 5.971
4.146 -4.223 5.971
4.146 4.223 -5.971
Sm Tl In S
2 4 2 8
Direct
0.000 0.000 0.000
0.500 0.000 0.500
0.000 0.500 0.500
0.500 0.000 0.000
0.500 0.500 0.000
0.500 0.500 0.500
0.000 0.000 0.500
0.000 0.500 0.000
0.200 0.239 0.962
0.223 0.761 0.462
0.232 0.206 0.474
0.232 0.758 0.026
0.768 0.242 0.974
0.768 0.794 0.526
0.777 0.239 0.538
0.800 0.761 0.038
```

=====

Material: YCr2Fe10
Method: DFT, GGA-PBE
State: relaxed

Values from the calculation:
raw total energy: -110.32 eV per cell
energy of formation from the pure elements: 0.022 eV per formula unit

```
YCr2Fe10
1.0
-2.334 4.173 4.217
2.334 -4.173 4.217
2.334 4.173 -4.217
Y Cr Fe
1 2 10
Direct
0.000 0.000 0.000
0.369 0.369 0.000
0.631 0.631 0.000
0.000 0.000 0.500
0.000 0.500 0.000
0.225 0.500 0.725
0.230 0.730 0.500
0.359 0.000 0.359
0.500 0.000 0.000
0.500 0.500 0.500
0.641 0.000 0.641
0.770 0.270 0.500
0.775 0.500 0.275
```

=====

Material: NaIn3Br6
Method: DFT, GGA-PBE
State: relaxed

Values from the calculation:
raw total energy: -56.96 eV per cell
raw formation energy: -86 kJ/mol of atoms

```
NaIn3Br6
1.0
7.461 0.000 0.000
0.000 8.115 0.000
-7.238 0.000 10.918
Na In Br
2 6 12
Direct
0.000 0.000 0.000
0.000 0.500 0.500
0.217 0.089 0.747
0.217 0.411 0.247
0.500 0.000 0.500
0.500 0.500 0.000
0.783 0.589 0.753
0.783 0.911 0.253
0.153 0.176 0.456
0.153 0.324 0.956
0.276 0.712 0.449
0.276 0.788 0.949
0.366 0.026 0.260
0.366 0.474 0.760
0.634 0.526 0.240
0.634 0.974 0.740
0.724 0.212 0.051
0.724 0.288 0.551
0.847 0.676 0.044
0.847 0.824 0.544
```

=====

Material: K2AsAuI6
Method: DFT, GGA-PBE
State: relaxed

Values from the calculation:
raw total energy: -25.46 eV per cell
energy above the lowest structure with this stoichiometry: 1.02 kcal/mol of atoms
raw formation energy: -58 kJ/mol of atoms

```
K2AsAuI6
1.0
0.000 5.829 5.829
5.829 0.000 5.829
5.829 5.829 0.000
K As Au I
2 1 1 6
Direct
0.250 0.250 0.250
0.750 0.750 0.750
0.000 0.000 0.000
0.500 0.500 0.500
0.248 0.248 0.752
0.248 0.752 0.248
0.248 0.752 0.752
0.752 0.248 0.248
0.752 0.248 0.752
0.752 0.752 0.248
```

=====

Material: Pa2SeBr6
Method: DFT, GGA-PBE
State: relaxed

Values from the calculation:
raw total energy: -44.34 eV per cell
raw formation energy: -127 kJ/mol of atoms

```
Pa2SeBr6
1.0
8.350 -1.766 0.000
8.350 1.766 0.000
-6.549 0.000 11.314
Pa Se Br
2 1 6
Direct
0.045 0.045 0.201
0.955 0.955 0.799
0.500 0.500 0.000
0.298 0.298 0.748
0.387 0.387 0.150
0.410 0.410 0.597
0.590 0.590 0.403
0.613 0.613 0.850
0.702 0.702 0.252
```